A | The following is a PBE calculation of MgBeAlAu after structural relaxation, from the Open Quantum Materials Database.

Geometry as POSCAR:
```
MgBeAlAu
1.0
0.000 3.133 3.133
3.133 0.000 3.133
3.133 3.133 0.000
Mg Au Be Al
1 1 1 1
direct
0.000 0.000 0.000
0.750 0.750 0.750
0.250 0.250 0.250
0.500 0.500 0.500
```

B | The following is a PBE calculation of MgBeAlAu after structural relaxation, from the Open Quantum Materials Database.

Geometry as POSCAR:
```
MgBeAlAu
1.0
3.309 -2.654 -1.172
-0.428 -4.361 0.406
-0.365 -2.519 -3.590
Au Mg Al Be
1 1 1 1
direct
0.750 0.750 0.750
0.250 0.250 0.250
0.000 0.000 0.000
0.500 0.500 0.500
```

The calculated energies rank the structures as follows, beginning with the most stable: A, B.

A | The following is a PBE calculation of BeAlZnAu after structural relaxation, from the Open Quantum Materials Database.

Geometry as POSCAR:
```
BeAlZnAu
1.0
0.000 3.051 3.051
3.051 0.000 3.051
3.051 3.051 0.000
Au Al Zn Be
1 1 1 1
direct
0.750 0.750 0.750
0.000 0.000 0.000
0.250 0.250 0.250
0.500 0.500 0.500
```

B | The following is a PBE calculation of BeAlZnAu after structural relaxation, from the Open Quantum Materials Database.

Geometry as POSCAR:
```
BeAlZnAu
1.0
0.000 3.078 3.078
3.078 0.000 3.078
3.078 3.078 0.000
Al Zn Be Au
1 1 1 1
direct
0.500 0.500 0.500
0.000 0.000 0.000
0.250 0.250 0.250
0.750 0.750 0.750
```

The calculated energies rank the structures as follows, beginning with the most stable: A, B.

A | The following is a PBE calculation of NbAlCoAu after structural relaxation, from the Open Quantum Materials Database.

Geometry as POSCAR:
```
NbAlCoAu
1.0
0.000 3.098 3.098
3.098 0.000 3.098
3.098 3.098 0.000
Al Au Nb Co
1 1 1 1
direct
0.500 0.500 0.500
0.750 0.750 0.750
0.250 0.250 0.250
0.000 0.000 0.000
```

Output
M_tot: 0.0 μB per formula unit

B | The following is a PBE calculation of NbAlCoAu after structural relaxation, from the Open Quantum Materials Database.

Geometry as POSCAR:
```
NbAlCoAu
1.0
1.321 -0.377 4.235
-2.861 0.836 3.307
-1.527 -3.338 2.519
Nb Au Al Co
1 1 1 1
direct
0.500 0.500 0.500
0.750 0.750 0.750
0.000 0.000 0.000
0.250 0.250 0.250
```

Output
M_tot: 0.3 μB per formula unit

C | The following is a PBE calculation of NbAlCoAu after structural relaxation, from the Open Quantum Materials Database.

Geometry as POSCAR:
```
NbAlCoAu
1.0
0.000 3.127 3.127
3.127 0.000 3.127
3.127 3.127 0.000
Al Nb Au Co
1 1 1 1
direct
0.250 0.250 0.250
0.500 0.500 0.500
0.750 0.750 0.750
0.000 0.000 0.000
```

Output
M_tot: 0.2 μB per formula unit

The calculated energies rank the structures as follows, beginning with the most stable: A, B, C.

A | The following is a PBE calculation of YAlCoAu after structural relaxation, from the Open Quantum Materials Database.

Geometry as POSCAR:
```
YAlCoAu
1.0
2.654 -3.872 -0.204
0.541 -2.681 3.820
-2.013 -4.241 0.198
Au Al Co Y
1 1 1 1
direct
0.500 0.500 0.500
0.000 0.000 0.000
0.750 0.750 0.750
0.250 0.250 0.250
```

Output
M_tot: 1.5 μB per formula unit

B | The following is a PBE calculation of YAlCoAu after structural relaxation, from the Open Quantum Materials Database.

Geometry as POSCAR:
```
YAlCoAu
1.0
0.000 3.293 3.293
3.293 0.000 3.293
3.293 3.293 0.000
Co Y Al Au
1 1 1 1
direct
0.750 0.750 0.750
0.500 0.500 0.500
0.000 0.000 0.000
0.250 0.250 0.250
```

Output
M_tot: 1.2 μB per formula unit

The calculated energies rank the structures as follows, beginning with the most stable: B, A.

A | The following is a PBE calculation of CsAlAu after structural relaxation, from the Open Quantum Materials Database.

Geometry as POSCAR:
```
CsAlAu
1.0
1.059 -0.157 5.294
1.673 4.456 2.553
-3.277 2.508 3.485
Au Al Cs
1 1 1
direct
0.000 0.000 0.000
0.250 0.250 0.250
0.750 0.750 0.750
```

B | The following is a PBE calculation of CsAlAu after structural relaxation, from the Open Quantum Materials Database.

Geometry as POSCAR:
```
CsAlAu
1.0
0.000 4.031 4.031
4.031 0.000 4.031
4.031 4.031 0.000
Cs Au Al
1 1 1
direct
0.000 0.000 0.000
0.750 0.750 0.750
0.250 0.250 0.250
```

The calculated energies rank the structures as follows, beginning with the most stable: A, B.

A | The following is a PBE calculation of CsAlTlAu after structural relaxation, from the Open Quantum Materials Database.

Geometry as POSCAR:
```
CsAlTlAu
1.0
0.000 3.919 3.919
3.919 0.000 3.919
3.919 3.919 0.000
Cs Au Tl Al
1 1 1 1
direct
0.000 0.000 0.000
0.750 0.750 0.750
0.500 0.500 0.500
0.250 0.250 0.250
```

B | The following is a PBE calculation of CsAlTlAu after structural relaxation, from the Open Quantum Materials Database.

Geometry as POSCAR:
```
CsAlTlAu
1.0
0.000 3.922 3.922
3.922 0.000 3.922
3.922 3.922 0.000
Cs Al Au Tl
1 1 1 1
direct
0.000 0.000 0.000
0.500 0.500 0.500
0.750 0.750 0.750
0.250 0.250 0.250
```

The calculated energies rank the structures as follows, beginning with the most stable: B, A.

A | The following is a PBE calculation of ErAlPtAu after structural relaxation, from the Open Quantum Materials Database.

Geometry as POSCAR:
```
ErAlPtAu
1.0
-0.256 -3.513 -2.665
2.461 -0.181 3.663
-7.196 -3.030 4.686
Au Al Pt Er
2 2 2 2
direct
0.667 0.333 0.910
0.333 0.667 0.410
0.000 0.000 0.018
0.000 0.000 0.518
0.667 0.333 0.579
0.333 0.667 0.079
0.333 0.667 0.743
0.667 0.333 0.243
```

Output
M_tot: 0.0 μB per formula unit

B | The following is a PBE calculation of ErAlPtAu after structural relaxation, from the Open Quantum Materials Database.

Geometry as POSCAR:
```
ErAlPtAu
1.0
-0.216 0.126 -4.414
0.487 -3.871 2.080
-9.033 -0.914 0.416
Au Pt Al Er
2 2 2 2
direct
0.667 0.333 0.337
0.667 0.333 0.663
0.333 0.667 0.829
0.333 0.667 0.171
0.000 0.000 0.775
0.000 0.000 0.225
0.667 0.333 0.000
0.333 0.667 0.500
```

Output
M_tot: 0.0 μB per formula unit

The calculated energies rank the structures as follows, beginning with the most stable: A, B.

A | The following is a PBE calculation of NbAlFeAu after structural relaxation, from the Open Quantum Materials Database.

Geometry as POSCAR:
```
NbAlFeAu
1.0
0.000 3.156 3.156
3.156 0.000 3.156
3.156 3.156 0.000
Fe Nb Au Al
1 1 1 1
direct
0.750 0.750 0.750
0.500 0.500 0.500
0.250 0.250 0.250
0.000 0.000 0.000
```

Output
M_tot: 1.4 μB per formula unit

B | The following is a PBE calculation of NbAlFeAu after structural relaxation, from the Open Quantum Materials Database.

Geometry as POSCAR:
```
NbAlFeAu
1.0
1.065 -2.596 3.480
-1.027 1.297 4.153
-3.213 -2.120 2.274
Au Nb Al Fe
1 1 1 1
direct
0.500 0.500 0.500
0.250 0.250 0.250
0.000 0.000 0.000
0.750 0.750 0.750
```

Output
M_tot: 1.6 μB per formula unit

The calculated energies rank the structures as follows, beginning with the most stable: A, B.

A | The following is a PBE calculation of AlFeNiAu after structural relaxation, from the Open Quantum Materials Database.

Geometry as POSCAR:
```
AlFeNiAu
1.0
-1.169 -2.054 3.543
-2.241 2.031 2.999
-4.093 -0.989 0.636
Au Fe Ni Al
1 1 1 1
direct
0.500 0.500 0.500
0.750 0.750 0.750
0.250 0.250 0.250
0.000 0.000 0.000
```

Output
M_tot: 2.7 μB per formula unit

B | The following is a PBE calculation of AlFeNiAu after structural relaxation, from the Open Quantum Materials Database.

Geometry as POSCAR:
```
AlFeNiAu
1.0
0.000 3.011 3.011
3.011 0.000 3.011
3.011 3.011 0.000
Fe Ni Au Al
1 1 1 1
direct
0.750 0.750 0.750
0.500 0.500 0.500
0.250 0.250 0.250
0.000 0.000 0.000
```

Output
M_tot: 3.0 μB per formula unit

The calculated energies rank the structures as follows, beginning with the most stable: B, A.

A | The following is a PBE calculation of AlFeWAu after structural relaxation, from the Open Quantum Materials Database.

Geometry as POSCAR:
```
AlFeWAu
1.0
0.000 3.111 3.111
3.111 0.000 3.111
3.111 3.111 0.000
W Fe Al Au
1 1 1 1
direct
0.000 0.000 0.000
0.500 0.500 0.500
0.250 0.250 0.250
0.750 0.750 0.750
```

Output
M_tot: 1.2 μB per formula unit

B | The following is a PBE calculation of AlFeWAu after structural relaxation, from the Open Quantum Materials Database.

Geometry as POSCAR:
```
AlFeWAu
1.0
0.000 3.056 3.056
3.056 0.000 3.056
3.056 3.056 0.000
Au W Fe Al
1 1 1 1
direct
0.750 0.750 0.750
0.250 0.250 0.250
0.500 0.500 0.500
0.000 0.000 0.000
```

Output
M_tot: 0.0 μB per formula unit

The calculated energies rank the structures as follows, beginning with the most stable: B, A.

A | The following is a PBE calculation of YAlFeAu after structural relaxation, from the Open Quantum Materials Database.

Geometry as POSCAR:
```
YAlFeAu
1.0
0.000 3.354 3.354
3.354 0.000 3.354
3.354 3.354 0.000
Y Au Al Fe
1 1 1 1
direct
0.250 0.250 0.250
0.500 0.500 0.500
0.000 0.000 0.000
0.750 0.750 0.750
```

Output
M_tot: 2.7 μB per formula unit

B | The following is a PBE calculation of YAlFeAu after structural relaxation, from the Open Quantum Materials Database.

Geometry as POSCAR:
```
YAlFeAu
1.0
0.000 3.318 3.318
3.318 0.000 3.318
3.318 3.318 0.000
Fe Y Al Au
1 1 1 1
direct
0.750 0.750 0.750
0.500 0.500 0.500
0.000 0.000 0.000
0.250 0.250 0.250
```

Output
M_tot: 2.1 μB per formula unit

The calculated energies rank the structures as follows, beginning with the most stable: B, A.

A | The following is a PBE calculation of ZrAlFeAu after structural relaxation, from the Open Quantum Materials Database.

Geometry as POSCAR:
```
ZrAlFeAu
1.0
0.000 3.215 3.215
3.215 0.000 3.215
3.215 3.215 0.000
Fe Zr Al Au
1 1 1 1
direct
0.750 0.750 0.750
0.500 0.500 0.500
0.000 0.000 0.000
0.250 0.250 0.250
```

Output
M_tot: 1.7 μB per formula unit

B | The following is a PBE calculation of ZrAlFeAu after structural relaxation, from the Open Quantum Materials Database.

Geometry as POSCAR:
```
ZrAlFeAu
1.0
0.572 -3.330 3.101
-3.654 -2.005 1.912
-1.058 -4.333 -1.066
Fe Al Zr Au
1 1 1 1
direct
0.750 0.750 0.750
0.000 0.000 0.000
0.250 0.250 0.250
0.500 0.500 0.500
```

Output
M_tot: 2.3 μB per formula unit

The calculated energies rank the structures as follows, beginning with the most stable: A, B.

A | The following is a PBE calculation of KAlGaAu after structural relaxation, from the Open Quantum Materials Database.

Geometry as POSCAR:
```
KAlGaAu
1.0
1.332 -3.472 -3.422
2.684 -4.042 1.414
-2.158 -4.570 0.065
Au Ga K Al
1 1 1 1
direct
0.750 0.750 0.750
0.000 0.000 0.000
0.500 0.500 0.500
0.250 0.250 0.250
```

B | The following is a PBE calculation of KAlGaAu after structural relaxation, from the Open Quantum Materials Database.

Geometry as POSCAR:
```
KAlGaAu
1.0
4.086 -2.035 2.077
-0.393 -4.201 2.712
1.834 -4.315 -1.781
Au Ga K Al
1 1 1 1
direct
0.750 0.750 0.750
0.250 0.250 0.250
0.500 0.500 0.500
0.000 0.000 0.000
```

C | The following is a PBE calculation of KAlGaAu after structural relaxation, from the Open Quantum Materials Database.

Geometry as POSCAR:
```
KAlGaAu
1.0
0.000 3.475 3.475
3.475 0.000 3.475
3.475 3.475 0.000
K Al Au Ga
1 1 1 1
direct
0.250 0.250 0.250
0.500 0.500 0.500
0.750 0.750 0.750
0.000 0.000 0.000
```

The calculated energies rank the structures as follows, beginning with the most stable: B, C, A.